No. 1
Density functional theory data (PBE-GGA) for crystalline KBa2As at its relaxed geometry.

Symmetry: R3m (160)
Electronic total energy in eV/f.u.: -12.215
Calculated volume in A^3/atom: 58.5
Energy of formation from the pure elements in meV/atom: -656
Total magnetic moment in Bohr magnetons per cell: 0.00

a = 12.193 Å, b = 12.193 Å, c = 12.193 Å
α = 22.56°, β = 22.56°, γ = 22.56°
Element x y z (fractional)
K 0.000 0.000 0.000
Ba 0.548 0.548 0.548
Ba 0.783 0.783 0.783
As 0.166 0.166 0.166


No. 2
Density functional theory data (PBE-GGA) for crystalline K2BaAs at its relaxed geometry.

Symmetry: P4/mmm (123)
Electronic total energy in eV/f.u.: -9.069
Calculated volume in A^3/atom: 42.2
Energy of formation from the pure elements in meV/atom: -75
Total magnetic moment in Bohr magnetons per cell: 0.93

a = 4.878 Å, b = 4.878 Å, c = 7.100 Å
α = 90.00°, β = 90.00°, γ = 90.00°
Element x y z (fractional)
K 0.000 0.000 0.202
K 0.000 0.000 0.798
Ba 0.500 0.500 0.500
As 0.500 0.500 0.000


No. 3
Density functional theory data (PBE-GGA) for crystalline K2BaAs at its relaxed geometry.

Symmetry: I4/mmm (139)
Electronic total energy in eV/f.u.: -9.804
Calculated volume in A^3/atom: 38.7
Energy of formation from the pure elements in meV/atom: -259
Total magnetic moment in Bohr magnetons per cell: 0.61

a = 7.080 Å, b = 7.080 Å, c = 7.080 Å
α = 138.42°, β = 138.42°, γ = 60.26°
Element x y z (fractional)
K 0.250 0.750 0.500
K 0.750 0.250 0.500
Ba 0.000 0.000 0.000
As 0.500 0.500 0.000


No. 4
Density functional theory data (PBE-GGA) for crystalline KBa2As at its relaxed geometry.

Symmetry: P4/mmm (123)
Electronic total energy in eV/f.u.: -10.984
Calculated volume in A^3/atom: 38.8
Energy of formation from the pure elements in meV/atom: -348
Total magnetic moment in Bohr magnetons per cell: 0.00

a = 5.591 Å, b = 5.591 Å, c = 4.971 Å
α = 90.00°, β = 90.00°, γ = 90.00°
Element x y z (fractional)
K 0.000 0.000 0.000
Ba 0.000 0.500 0.500
Ba 0.500 0.000 0.500
As 0.500 0.500 0.000


No. 5
Density functional theory data (PBE-GGA) for crystalline KBaAs3 at its relaxed geometry.

Symmetry: Pm-3m (221)
Electronic total energy in eV/f.u.: -14.518
Calculated volume in A^3/atom: 33.8
Energy of formation from the pure elements in meV/atom: 490
Energy above the lowest structure with this stoichiometry in eV/atom: 0.000
Total magnetic moment in Bohr magnetons per cell: 0.00

a = 5.530 Å, b = 5.530 Å, c = 5.530 Å
α = 90.00°, β = 90.00°, γ = 90.00°
Element x y z (fractional)
K 0.000 0.000 0.000
Ba 0.500 0.500 0.500
As 0.000 0.000 0.500
As 0.000 0.500 0.000
As 0.500 0.000 0.000


No. 6
Density functional theory data (PBE-GGA) for crystalline K2BaAs at its relaxed geometry.

Symmetry: P4mm (99)
Electronic total energy in eV/f.u.: -10.286
Calculated volume in A^3/atom: 49.8
Energy of formation from the pure elements in meV/atom: -380
Total magnetic moment in Bohr magnetons per cell: 0.00

a = 4.277 Å, b = 4.277 Å, c = 10.886 Å
α = 90.00°, β = 90.00°, γ = 90.00°
Element x y z (fractional)
K 0.000 0.000 0.000
K 0.500 0.500 0.348
Ba 0.500 0.500 0.659
As 0.000 0.000 0.535


No. 7
Density functional theory data (PBE-GGA) for crystalline KBa2As at its relaxed geometry.

Symmetry: R3m (160)
Electronic total energy in eV/f.u.: -10.889
Calculated volume in A^3/atom: 56.8
Energy of formation from the pure elements in meV/atom: -324
Total magnetic moment in Bohr magnetons per cell: 0.06

a = 10.845 Å, b = 10.845 Å, c = 10.845 Å
α = 26.71°, β = 26.71°, γ = 26.71°
Element x y z (fractional)
K 0.000 0.000 0.000
Ba 0.572 0.572 0.572
Ba 0.787 0.787 0.787
As 0.280 0.280 0.280


No. 8
Density functional theory data (PBE-GGA) for crystalline K2BaAs at its relaxed geometry.

Symmetry: C2/m (12)
Electronic total energy in eV/f.u.: -10.451
Calculated volume in A^3/atom: 51.2
Energy of formation from the pure elements in meV/atom: -421
Total magnetic moment in Bohr magnetons per cell: 0.00

a = 9.896 Å, b = 9.896 Å, c = 5.140 Å
α = 104.96°, β = 104.96°, γ = 24.96°
Element x y z (fractional)
K 0.154 0.154 0.154
K 0.846 0.846 0.846
Ba 0.000 0.000 0.500
As 0.500 0.500 0.000


No. 9
Density functional theory data (PBE-GGA) for crystalline KBa2LiAs at its relaxed geometry.

Symmetry: P4/mmm (123)
Electronic total energy in eV/f.u.: -13.422
Calculated volume in A^3/atom: 46.1
Energy of formation from the pure elements in meV/atom: -383
Energy above the lowest structure with this stoichiometry in eV/atom: 0.000
Total magnetic moment in Bohr magnetons per cell: 0.00

a = 6.612 Å, b = 6.612 Å, c = 5.270 Å
α = 90.00°, β = 90.00°, γ = 90.00°
Element x y z (fractional)
K 0.000 0.000 0.000
Ba 0.000 0.500 0.500
Ba 0.500 0.000 0.500
Li 0.500 0.500 0.000
As 0.500 0.500 0.500


No. 10
Density functional theory data (PBE-GGA) for crystalline KBa2LiAs at its relaxed geometry.

Symmetry: P4/mmm (123)
Electronic total energy in eV/f.u.: -10.665
Calculated volume in A^3/atom: 40.7
Energy of formation from the pure elements in meV/atom: 168
Energy above the lowest structure with this stoichiometry in eV/atom: 0.552
Total magnetic moment in Bohr magnetons per cell: 0.00

a = 6.105 Å, b = 6.105 Å, c = 5.463 Å
α = 90.00°, β = 90.00°, γ = 90.00°
Element x y z (fractional)
K 0.000 0.000 0.000
Ba 0.000 0.500 0.500
Ba 0.500 0.000 0.500
Li 0.000 0.000 0.500
As 0.500 0.500 0.000


No. 11
Density functional theory data (PBE-GGA) for crystalline KBa2AsN at its relaxed geometry.

Symmetry: P4/mmm (123)
Electronic total energy in eV/f.u.: -15.804
Formation energy without anion corrections in eV/atom: 0.423
Calculated volume in A^3/atom: 48.4
Total magnetic moment in Bohr magnetons per cell: 1.13

a = 6.296 Å, b = 6.296 Å, c = 6.107 Å
α = 90.00°, β = 90.00°, γ = 90.00°
Element x y z (fractional)
K 0.000 0.000 0.000
Ba 0.000 0.500 0.500
Ba 0.500 0.000 0.500
As 0.000 0.000 0.500
N 0.500 0.500 0.000


No. 12
Density functional theory data (PBE-GGA) for crystalline K5BaNbAs4 at its relaxed geometry.

Symmetry: Cc (9)
Electronic total energy in eV/f.u.: -43.073
Calculated volume in A^3/atom: 35.3
Energy of formation from the pure elements in meV/atom: -636
Total magnetic moment in Bohr magnetons per cell: 0.00

a = 10.482 Å, b = 10.482 Å, c = 8.190 Å
α = 90.80°, β = 90.80°, γ = 120.34°
Element x y z (fractional)
K 0.030 0.970 0.500
K 0.031 0.562 0.500
K 0.219 0.358 0.342
K 0.358 0.219 0.842
K 0.369 0.646 0.827
K 0.562 0.031 0.000
K 0.646 0.369 0.327
K 0.657 0.797 0.298
K 0.797 0.657 0.798
K 0.970 0.030 0.000
Ba 0.439 0.969 0.507
Ba 0.969 0.439 0.007
Nb 0.172 0.837 0.109
Nb 0.837 0.172 0.609
As 0.097 0.304 0.723
As 0.182 0.838 0.802
As 0.300 0.702 0.212
As 0.304 0.097 0.223
As 0.698 0.905 0.691
As 0.702 0.300 0.712
As 0.838 0.182 0.302
As 0.905 0.698 0.191


No. 13
Density functional theory data (PBE-GGA) for crystalline K3BaAs2O6 at its relaxed geometry.

Symmetry: P-3m1 (164)
Electronic total energy in eV/f.u.: -65.021
Formation energy without anion corrections in eV/atom: -1.730
Calculated volume in A^3/atom: 21.3
Total magnetic moment in Bohr magnetons per cell: 1.05

a = 6.343 Å, b = 6.343 Å, c = 7.323 Å
α = 90.00°, β = 90.00°, γ = 120.00°
Element x y z (fractional)
K 0.000 0.000 0.000
K 0.333 0.667 0.670
K 0.667 0.333 0.330
Ba 0.000 0.000 0.500
As 0.333 0.667 0.182
As 0.667 0.333 0.818
O 0.186 0.373 0.279
O 0.186 0.814 0.279
O 0.373 0.186 0.721
O 0.627 0.814 0.279
O 0.814 0.186 0.721
O 0.814 0.627 0.721


No. 14
Density functional theory data (PBE-GGA) for crystalline K2BaAs2O7 at its relaxed geometry.

Symmetry: R32 (155)
Electronic total energy in eV/f.u.: -69.661
Formation energy without anion corrections in eV/atom: -1.795
Calculated volume in A^3/atom: 20.6
Total magnetic moment in Bohr magnetons per cell: 0.00

a = 8.621 Å, b = 8.621 Å, c = 8.621 Å
α = 40.83°, β = 40.83°, γ = 40.83°
Element x y z (fractional)
K 0.204 0.204 0.204
K 0.796 0.796 0.796
Ba 0.000 0.000 0.000
As 0.424 0.424 0.424
As 0.576 0.576 0.576
O 0.153 0.371 0.700
O 0.300 0.629 0.847
O 0.371 0.700 0.153
O 0.500 0.500 0.500
O 0.629 0.847 0.300
O 0.700 0.153 0.371
O 0.847 0.300 0.629


No. 15
Density functional theory data (PBE-GGA) for crystalline KBa2AsO at its relaxed geometry.

Symmetry: P4/mmm (123)
Electronic total energy in eV/f.u.: -21.555
Formation energy without anion corrections in eV/atom: -1.401
Calculated volume in A^3/atom: 29.9
Total magnetic moment in Bohr magnetons per cell: 0.00

a = 5.395 Å, b = 5.395 Å, c = 5.134 Å
α = 90.00°, β = 90.00°, γ = 90.00°
Element x y z (fractional)
K 0.000 0.000 0.000
Ba 0.000 0.500 0.500
Ba 0.500 0.000 0.500
As 0.500 0.500 0.000
O 0.000 0.000 0.500


No. 16
Density functional theory data (PBE-GGA) for crystalline KBa3As2O8 at its relaxed geometry.

Symmetry: P-3m1 (164)
Electronic total energy in eV/f.u.: -84.032
Formation energy without anion corrections in eV/atom: -2.014
Calculated volume in A^3/atom: 20.1
Total magnetic moment in Bohr magnetons per cell: 0.21

a = 5.901 Å, b = 5.901 Å, c = 9.345 Å
α = 90.00°, β = 90.00°, γ = 120.00°
Element x y z (fractional)
K 0.000 0.000 0.000
Ba 0.000 0.000 0.500
Ba 0.333 0.667 0.227
Ba 0.667 0.333 0.773
As 0.333 0.667 0.680
As 0.667 0.333 0.320
O 0.173 0.346 0.740
O 0.173 0.827 0.740
O 0.333 0.667 0.494
O 0.346 0.173 0.260
O 0.654 0.827 0.740
O 0.667 0.333 0.506
O 0.827 0.173 0.260
O 0.827 0.654 0.260


No. 17
Density functional theory data (PBE-GGA) for crystalline KBaAs2Pb at its relaxed geometry.

Symmetry: C2/m (12)
Electronic total energy in eV/f.u.: -18.687
Calculated volume in A^3/atom: 37.2
Energy of formation from the pure elements in meV/atom: -532
Total magnetic moment in Bohr magnetons per cell: 0.00

a = 9.101 Å, b = 9.101 Å, c = 9.539 Å
α = 115.63°, β = 115.63°, γ = 31.83°
Element x y z (fractional)
K 0.084 0.084 0.420
K 0.916 0.916 0.580
Ba 0.235 0.235 0.186
Ba 0.765 0.765 0.814
As 0.126 0.126 0.808
As 0.378 0.378 0.773
As 0.622 0.622 0.227
As 0.874 0.874 0.192
Pb 0.438 0.438 0.111
Pb 0.562 0.562 0.889


No. 18
Density functional theory data (PBE-GGA) for crystalline KBa2As3Pd12 at its relaxed geometry.

Symmetry: R-3m (166)
Electronic total energy in eV/f.u.: -84.075
Calculated volume in A^3/atom: 19.7
Energy of formation from the pure elements in meV/atom: -159
Total magnetic moment in Bohr magnetons per cell: 0.00

a = 7.101 Å, b = 7.101 Å, c = 7.101 Å
α = 85.02°, β = 85.02°, γ = 85.02°
Element x y z (fractional)
K 0.000 0.000 0.000
Ba 0.373 0.373 0.373
Ba 0.627 0.627 0.627
As 0.000 0.000 0.500
As 0.000 0.500 0.000
As 0.500 0.000 0.000
Pd 0.078 0.634 0.634
Pd 0.182 0.182 0.681
Pd 0.182 0.681 0.182
Pd 0.319 0.818 0.818
Pd 0.366 0.366 0.922
Pd 0.366 0.922 0.366
Pd 0.634 0.078 0.634
Pd 0.634 0.634 0.078
Pd 0.681 0.182 0.182
Pd 0.818 0.319 0.818
Pd 0.818 0.818 0.319
Pd 0.922 0.366 0.366


No. 19
Density functional theory data (PBE-GGA) for crystalline KBaAs2Pt2 at its relaxed geometry.

Symmetry: P-3m1 (164)
Electronic total energy in eV/f.u.: -28.616
Calculated volume in A^3/atom: 26.8
Energy of formation from the pure elements in meV/atom: -702
Total magnetic moment in Bohr magnetons per cell: 0.00

a = 4.277 Å, b = 4.277 Å, c = 10.146 Å
α = 90.00°, β = 90.00°, γ = 120.00°
Element x y z (fractional)
K 0.000 0.000 0.000
Ba 0.000 0.000 0.500
As 0.333 0.667 0.746
As 0.667 0.333 0.254
Pt 0.333 0.667 0.260
Pt 0.667 0.333 0.740


No. 20
Density functional theory data (PBE-GGA) for crystalline K2RbBaAs at its relaxed geometry.

Symmetry: P4/mmm (123)
Electronic total energy in eV/f.u.: -11.149
Calculated volume in A^3/atom: 58.6
Energy of formation from the pure elements in meV/atom: -283
Total magnetic moment in Bohr magnetons per cell: 0.00

a = 6.724 Å, b = 6.724 Å, c = 6.487 Å
α = 90.00°, β = 90.00°, γ = 90.00°
Element x y z (fractional)
K 0.000 0.500 0.000
K 0.500 0.000 0.000
Rb 0.000 0.000 0.500
Ba 0.500 0.500 0.500
As 0.500 0.500 0.000


No. 21
Density functional theory data (PBE-GGA) for crystalline KBa2As2S6 at its relaxed geometry.

Symmetry: C2/m (12)
Electronic total energy in eV/f.u.: -49.309
Formation energy without anion corrections in eV/atom: -0.937
Calculated volume in A^3/atom: 29.4
Total magnetic moment in Bohr magnetons per cell: 0.00

a = 6.966 Å, b = 6.966 Å, c = 8.618 Å
α = 112.00°, β = 112.00°, γ = 58.91°
Element x y z (fractional)
K 0.000 0.000 0.000
Ba 0.191 0.191 0.709
Ba 0.809 0.809 0.291
As 0.475 0.475 0.185
As 0.525 0.525 0.815
S 0.170 0.696 0.668
S 0.281 0.281 0.144
S 0.304 0.830 0.332
S 0.696 0.170 0.668
S 0.719 0.719 0.856
S 0.830 0.304 0.332


No. 22
Density functional theory data (PBE-GGA) for crystalline K2BaAsS4 at its relaxed geometry.

Symmetry: Imma (74)
Electronic total energy in eV/f.u.: -31.916
Formation energy without anion corrections in eV/atom: -0.830
Calculated volume in A^3/atom: 28.3
Total magnetic moment in Bohr magnetons per cell: 0.17

a = 8.650 Å, b = 8.650 Å, c = 8.650 Å
α = 124.40°, β = 116.30°, γ = 89.54°
Element x y z (fractional)
K 0.000 0.000 0.000
K 0.500 0.000 0.000
K 0.500 0.000 0.500
K 0.500 0.500 0.500
Ba 0.000 0.500 0.500
Ba 0.500 0.500 0.000
As 0.000 0.000 0.500
As 0.000 0.500 0.000
S 0.191 0.249 0.942
S 0.193 0.751 0.442
S 0.210 0.210 0.500
S 0.210 0.711 0.000
S 0.790 0.289 0.000
S 0.790 0.790 0.500
S 0.807 0.249 0.558
S 0.809 0.751 0.058


No. 23
Density functional theory data (PBE-GGA) for crystalline KBaAsSe3 at its relaxed geometry.

Symmetry: P2_1/c (14)
Electronic total energy in eV/f.u.: -24.831
Formation energy without anion corrections in eV/atom: -1.118
Calculated volume in A^3/atom: 34.0
Total magnetic moment in Bohr magnetons per cell: 0.00

a = 9.952 Å, b = 9.218 Å, c = 9.442 Å
α = 90.00°, β = 109.57°, γ = 90.00°
Element x y z (fractional)
K 0.069 0.102 0.217
K 0.069 0.398 0.717
K 0.931 0.602 0.283
K 0.931 0.898 0.783
Ba 0.421 0.717 0.469
Ba 0.421 0.783 0.969
Ba 0.579 0.217 0.031
Ba 0.579 0.283 0.531
As 0.248 0.035 0.642
As 0.248 0.465 0.142
As 0.752 0.535 0.858
As 0.752 0.965 0.358
Se 0.159 0.712 0.108
Se 0.159 0.788 0.608
Se 0.232 0.102 0.884
Se 0.232 0.398 0.384
Se 0.493 0.004 0.280
Se 0.493 0.496 0.780
Se 0.507 0.504 0.220
Se 0.507 0.996 0.720
Se 0.768 0.602 0.616
Se 0.768 0.898 0.116
Se 0.841 0.212 0.392
Se 0.841 0.288 0.892


No. 24
Density functional theory data (PBE-GGA) for crystalline KBa2Sn2As4 at its relaxed geometry.

Symmetry: C2/m (12)
Electronic total energy in eV/f.u.: -37.176
Calculated volume in A^3/atom: 31.9
Energy of formation from the pure elements in meV/atom: -626
Total magnetic moment in Bohr magnetons per cell: 0.00

a = 8.720 Å, b = 8.720 Å, c = 7.298 Å
α = 108.03°, β = 108.03°, γ = 33.10°
Element x y z (fractional)
K 0.000 0.000 0.000
Ba 0.133 0.133 0.568
Ba 0.867 0.867 0.432
Sn 0.337 0.337 0.006
Sn 0.663 0.663 0.994
As 0.215 0.215 0.190
As 0.493 0.493 0.323
As 0.507 0.507 0.677
As 0.785 0.785 0.810